SrFeCoSe3: relaxed, PBE.

Cell lengths 3.851, 13.379, 9.464 Å; angles 90.00, 90.00, 90.00 degrees
Space group Cmcm (No. 63)
Asymmetric unit:
Sr 0.000 0.246 0.250 (multiplicity 4)
Fe 0.000 0.000 0.000 (multiplicity 4)
Co 0.000 0.471 0.750 (multiplicity 4)
Se 0.000 0.066 0.750 (multiplicity 4)
Se 0.000 0.371 0.548 (multiplicity 8)

Summary:
Crystal system: orthorhombic
Relative energy among the computed polymorphs: 6.2 meV/atom